First-principles (PBE with a Hubbard U) data for crystalline PmV2O6 at its relaxed geometry, as listed in the Alexandria database.

Cell: 5.031 5.074 5.074 Å, 120.00 90.00 90.00°
Atoms (fractional coordinates):
O: 0.712 0.000 0.374
O: 0.288 0.000 0.626
O: 0.712 0.374 0.000
O: 0.288 0.626 0.000
O: 0.712 0.626 0.626
O: 0.288 0.374 0.374
V: 0.500 0.667 0.333
V: 0.500 0.333 0.667
Pm: 0.000 0.000 0.000

total energy: -7.84 eV per atom
calculated density: 5.1 g/cm³
symmetry: No. 162